Record 1
Density functional theory data (PBE) for a relaxed BeBr3 crystal.

POSCAR file:
```
BeBr3
1.0
1.9938 1.1511 11.5614
-1.9938 1.1511 11.5614
0.0000 -2.3023 11.5614
Be Br
1 3
Cartesian
0.0000 0.0000 0.0000
0.0000 0.0000 1.9416
0.0000 0.0000 17.3420
0.0000 0.0000 32.7424
```

Summary:
Total magnetization in μB/atom: 0.240
Uncorrected formation energy in meV per atom: -226
Symmetry: R-3m, No. 166
Density in g/cm³: 2.6

---

Record 2
Density functional theory data (PBE) for a relaxed SiNiIr2 crystal.

POSCAR file:
```
SiNiIr2
1.0
3.8835 0.0000 0.0000
0.0000 3.8835 0.0000
0.0000 0.0000 3.4428
Si Ni Ir
1 1 2
Cartesian
0.0000 0.0000 0.0000
1.9417 1.9417 0.0000
0.0000 1.9417 1.7214
1.9417 0.0000 1.7214
```

Summary:
Total magnetization in μB/atom: 0.000
Uncorrected formation energy in meV per atom: -311
Symmetry: P4/mmm, No. 123
Density in g/cm³: 15.1

---

Record 3
Density functional theory data (PBE) for a relaxed Pm6Nd2S3 crystal.

POSCAR file:
```
Pm6Nd2S3
1.0
1.9322 1.1156 25.2200
-1.9322 1.1156 25.2200
0.0000 -2.2312 25.2200
Pm Nd S
6 2 3
Cartesian
0.0000 0.0000 5.1703
0.0000 0.0000 14.0750
0.0000 0.0000 27.0050
0.0000 0.0000 48.6550
0.0000 0.0000 61.5850
0.0000 0.0000 70.4897
0.0000 0.0000 33.4781
0.0000 0.0000 42.1819
0.0000 0.0000 0.0000
0.0000 0.0000 21.7474
0.0000 0.0000 53.9126
```

Summary:
Total magnetization in μB/atom: 0.000
Uncorrected formation energy in meV per atom: -1052
Symmetry: R-3m, No. 166
Density in g/cm³: 6.4

---

Record 4
Density functional theory data (PBE) for a relaxed TiV5Cl12 crystal.

POSCAR file:
```
TiV5Cl12
1.0
3.1707 -5.4984 0.0000
3.1707 5.4984 0.0000
-0.0135 0.0000 12.6483
Ti V Cl
1 5 12
Cartesian
0.0000 0.0000 0.0000
3.1639 3.6654 6.3242
3.1707 1.8327 0.0000
3.1639 0.0000 6.3242
3.1707 -1.8327 0.0000
3.1639 -3.6654 6.3242
1.0731 1.8621 1.3465
5.2547 -1.8621 11.3018
1.0494 0.0000 4.9952
2.1073 1.8325 7.6528
1.0731 -1.8621 1.3465
2.1347 0.0000 11.3016
2.1073 -1.8325 7.6528
4.2204 1.8325 4.9956
5.2547 1.8621 11.3018
4.1931 0.0000 1.3467
4.2204 -1.8325 4.9956
5.2784 0.0000 7.6532
```

Summary:
Total magnetization in μB/atom: 0.944
Uncorrected formation energy in meV per atom: -1163
Symmetry: C2/m, No. 12
Density in g/cm³: 2.7

---

Record 5
Density functional theory data (PBE) for a relaxed CaCu2I crystal.

POSCAR file:
```
CaCu2I
1.0
0.0000 3.5475 3.5475
3.5475 0.0000 3.5475
3.5475 3.5475 0.0000
Ca Cu I
1 2 1
Cartesian
0.0000 0.0000 0.0000
1.7737 1.7737 1.7737
5.3212 5.3212 5.3212
3.5475 3.5475 3.5475
```

Summary:
Total magnetization in μB/atom: 0.000
Uncorrected formation energy in meV per atom: 212
Symmetry: Fm-3m, No. 225
Density in g/cm³: 5.5

---

Record 6
Density functional theory data (PBE) for a relaxed Nb2ReOs crystal.

POSCAR file:
```
Nb2ReOs
1.0
-2.0343 2.0343 8.8521
2.0343 -2.0343 8.8521
2.0343 2.0343 -8.8521
Nb Re Os
4 2 2
Cartesian
3.0514 1.0150 -2.2130
1.0150 1.0171 2.2130
-1.0171 1.0193 6.6391
1.0193 1.0171 11.0651
2.0343 0.0000 4.4261
0.0000 0.0000 8.8521
0.0000 0.0000 0.0000
0.0000 2.0343 4.4261
```

Summary:
Total magnetization in μB/atom: 0.000
Formation energy in kJ/mol of formula units: 346.6
Symmetry: I-42d, No. 122
Density in g/cm³: 12.7

---

Record 7
Density functional theory data (PBE) for a relaxed CuSn2Os crystal.

POSCAR file:
```
CuSn2Os
1.0
-3.7066 3.7066 2.9092
3.7066 -3.7066 2.9092
3.7066 3.7066 -2.9092
Cu Sn Os
2 4 2
Cartesian
0.0000 0.0000 0.0000
0.0000 3.7066 1.4546
1.8533 1.9112 -0.7273
5.5019 1.8533 0.7273
1.8533 1.7954 2.1819
-1.7954 1.8533 3.6365
3.7066 0.0000 1.4546
0.0000 0.0000 2.9092
```

Summary:
Total magnetization in μB/atom: 0.000
Formation energy in kJ/mol of formula units: 277.7
Symmetry: I-42d, No. 122
Density in g/cm³: 10.2

---

Record 8
Density functional theory data (PBE) for a relaxed PmNbHg crystal.

POSCAR file:
```
PmNbHg
1.0
3.2736 0.0000 0.0000
0.4909 5.4239 0.0000
0.6824 2.4401 8.1666
Pm Nb Hg
2 2 2
Cartesian
0.4222 2.5584 2.8216
4.0247 5.3057 5.3450
1.2025 3.8124 0.0394
3.2444 4.0516 8.1272
2.0637 2.5621 5.8644
2.3832 5.3019 2.3022
```

Summary:
Total magnetization in μB/atom: 0.000
Formation energy in kJ/mol of formula units: 12.3
Symmetry: P-1, No. 2
Density in g/cm³: 10.0

---

Record 9
Density functional theory data (PBE) for a relaxed MgTcIr2 crystal.

POSCAR file:
```
MgTcIr2
1.0
2.7863 0.0000 0.0000
0.0000 3.8123 0.0000
0.0000 0.0000 5.6027
Mg Tc Ir
1 1 2
Cartesian
0.0000 0.0000 0.0000
0.0000 0.0000 2.8013
1.3932 1.9061 1.4340
1.3932 1.9061 4.1687
```

Summary:
Total magnetization in μB/atom: 0.000
Formation energy in kJ/mol of formula units: -63.3
Symmetry: Pmmm, No. 47
Density in g/cm³: 14.1

---

Record 10
Density functional theory data (PBE) for a relaxed VPbBr4 crystal.

POSCAR file:
```
VPbBr4
1.0
6.7910 -2.0338 0.0000
6.7910 2.0338 0.0000
-1.4133 0.0000 7.2472
V Pb Br
1 1 4
Cartesian
0.0000 0.0000 0.0000
6.0844 0.0000 3.6236
1.1847 0.0000 2.3841
5.1709 0.0000 0.7086
6.9979 0.0000 6.5386
10.9841 0.0000 4.8631
```

Summary:
Total magnetization in μB/atom: 0.500
Uncorrected formation energy in meV per atom: -824
Symmetry: C2/m, No. 12
Density in g/cm³: 4.8

---

Record 11
Density functional theory data (PBE) for a relaxed BaV2Mo crystal.

POSCAR file:
```
BaV2Mo
1.0
0.0000 3.4297 3.4297
3.4297 0.0000 3.4297
3.4297 3.4297 0.0000
Ba V Mo
1 2 1
Cartesian
0.0000 0.0000 0.0000
1.7149 1.7149 1.7149
5.1446 5.1446 5.1446
3.4297 3.4297 3.4297
```

Summary:
Total magnetization in μB/atom: 0.765
Formation energy in kJ/mol of formula units: 454.2
Symmetry: Fm-3m, No. 225
Density in g/cm³: 6.9

---

Record 12
Density functional theory data (PBE) for a relaxed Sm5Cd2Ge2 crystal.

POSCAR file:
```
Sm5Cd2Ge2
1.0
8.1979 -3.8925 0.0000
8.1979 3.8925 0.0000
0.0000 0.0000 7.8224
Sm Cd Ge
10 4 4
Cartesian
0.0000 0.0000 0.0000
6.1211 2.4617 5.3040
6.1211 1.4308 1.3928
10.2747 2.4617 5.3040
10.2747 1.4308 1.3928
8.1979 0.0000 3.9112
6.1211 -1.4308 6.4296
6.1211 -2.4617 2.5184
10.2747 -1.4308 6.4296
10.2747 -2.4617 2.5184
3.5960 0.0000 0.0000
4.6019 0.0000 3.9112
11.7938 0.0000 3.9112
12.7998 0.0000 0.0000
8.1979 2.9436 2.9407
8.1979 0.9489 6.8519
8.1979 -0.9489 0.9705
8.1979 -2.9436 4.8816
```

Summary:
Total magnetization in μB/atom: 0.000
Formation energy in kJ/mol of formula units: -451.5
Symmetry: Cmce, No. 64
Density in g/cm³: 7.5